MnTl2SbF6 after structural relaxation, computed with PBE with a Hubbard U.

a = 6.1096 Å, b = 8.5086 Å, c = 7.3456 Å
α = 90.00°, β = 90.00°, γ = 90.00°
With the nearest neighbours (Å) after each atom.
Space group Pmmn (No. 59, origin choice 2)
Inequivalent atoms, fractional coordinates:
Mn 0.2500 0.2500 0.2096 (multiplicity 2)  6 F 2.08-2.23
Tl 0.2500 0.5114 0.7105 (multiplicity 4)  2 F 2.70
Sb 0.2500 0.7500 0.2100 (multiplicity 2)  4 F 2.15-2.16
F 0.0041 0.2500 0.4063 (multiplicity 4)  1 Mn 2.08
F 0.0381 0.7500 0.9768 (multiplicity 4)  1 Sb 2.15, 1 Mn 2.23
F 0.2500 0.0015 0.1657 (multiplicity 4)  1 Mn 2.14, 1 Sb 2.16

Output
raw total energy: -4.76 eV/atom